Ca2HfRe after structural relaxation. Source: the Alexandria database, functional PBE.

Cell lengths 7.1928, 7.1928, 7.1928 Å; angles 90.00, 90.00, 90.00 degrees
Space group Fm-3m (No. 225)
One atom of each set of equivalent atoms:
Ca 0.2500 0.2500 0.2500 (multiplicity 8)
Hf 0.0000 0.0000 0.0000 (multiplicity 4)
Re 0.0000 0.0000 0.5000 (multiplicity 4)

As for the formation energy: 1.035 eV per atom. For the energy above the most stable polymorph in this dataset, the calculation gives 92 meV/atom.